Run 1
ScSb2Cl | PBE | relaxed

Geometry as POSCAR:
```
ScSb2Cl
1.0
3.141 0.000 0.000
0.000 3.141 0.000
0.000 0.000 11.658
Sc Sb Cl
1 2 1
direct
0.000 0.000 0.000
0.000 0.000 0.480
0.500 0.500 0.807
0.500 0.500 0.129
```

* space group: P4mm, No. 99
* magnetization: 0.447 μB per formula unit



Run 2
ScSb2Cl | PBE | relaxed

Geometry as POSCAR:
```
ScSb2Cl
1.0
3.462 0.000 0.000
-1.731 2.998 0.000
0.000 0.000 28.374
Sc Sb Cl
3 6 3
direct
0.000 0.000 0.000
0.333 0.667 0.667
0.667 0.333 0.333
0.000 0.000 0.252
0.000 0.000 0.748
0.333 0.667 0.415
0.333 0.667 0.918
0.667 0.333 0.082
0.667 0.333 0.585
0.000 0.000 0.500
0.333 0.667 0.167
0.667 0.333 0.833
```

* space group: R-3m, No. 166
* magnetization: 0.000 μB per formula unit



Here is how they stack up, most stable first: run 1, run 2.



Run 1
ScSbTe2Cl | PBE | relaxed

Geometry as POSCAR:
```
ScSbTe2Cl
1.0
5.448 0.000 0.000
0.000 5.448 0.000
0.000 0.000 5.098
Sc Sb Te Cl
1 1 2 1
direct
0.000 0.000 0.000
0.500 0.500 0.000
0.000 0.500 0.500
0.500 0.000 0.500
0.500 0.500 0.500
```

* space group: P4/mmm, No. 123
* magnetization: 0.000 μB per formula unit



Run 2
ScSbTe2Cl | PBE | relaxed

Geometry as POSCAR:
```
ScSbTe2Cl
1.0
5.415 0.000 0.000
0.000 5.415 0.000
0.000 0.000 5.632
Sc Sb Te Cl
1 1 2 1
direct
0.000 0.000 0.000
0.000 0.000 0.500
0.000 0.500 0.000
0.500 0.000 0.000
0.500 0.500 0.500
```

* space group: P4/mmm, No. 123
* magnetization: 0.001 μB per formula unit



Here is how they stack up, most stable first: run 2, run 1.



Run 1
Sb2Se2Cl | PBE | relaxed

Geometry as POSCAR:
```
Sb2Se2Cl
1.0
4.238 0.000 0.000
-2.119 3.670 0.000
0.000 0.000 31.021
Sb Se Cl
6 6 3
direct
0.000 0.000 0.103
0.000 0.000 0.897
0.333 0.667 0.564
0.333 0.667 0.770
0.667 0.333 0.230
0.667 0.333 0.436
0.000 0.000 0.273
0.000 0.000 0.727
0.333 0.667 0.394
0.333 0.667 0.940
0.667 0.333 0.060
0.667 0.333 0.606
0.000 0.000 0.500
0.333 0.667 0.167
0.667 0.333 0.833
```

* space group: R-3m, No. 166
* magnetization: 0.000 μB per formula unit



Run 2
Sb2Se2Cl | PBE | relaxed

Geometry as POSCAR:
```
Sb2Se2Cl
1.0
5.165 0.000 0.000
0.000 5.165 0.000
0.000 0.000 10.818
Sb Se Cl
4 4 2
direct
0.000 0.000 0.149
0.000 0.000 0.851
0.500 0.500 0.351
0.500 0.500 0.649
0.000 0.500 0.250
0.000 0.500 0.750
0.500 0.000 0.250
0.500 0.000 0.750
0.000 0.000 0.500
0.500 0.500 0.000
```

* space group: I4/mmm, No. 139
* magnetization: 0.000 μB per formula unit



Run 3
Sb2Se2Cl | PBE | relaxed

Geometry as POSCAR:
```
Sb2Se2Cl
1.0
8.343 0.000 0.000
0.000 8.343 0.000
0.000 0.000 3.914
Sb Se Cl
4 4 2
direct
0.203 0.297 0.000
0.297 0.797 0.000
0.703 0.203 0.000
0.797 0.703 0.000
0.145 0.645 0.500
0.355 0.145 0.500
0.645 0.855 0.500
0.855 0.355 0.500
0.000 0.000 0.000
0.500 0.500 0.000
```

* space group: P4/mbm, No. 127
* magnetization: 0.000 μB per formula unit



Here is how they stack up, most stable first: run 1, run 3, run 2.